Entry from Alexandria: a relaxed CrCu2W crystal (PBE-GGA).

Unit cell a=3.737 b=3.737 c=7.458 alpha=90.00 beta=90.00 gamma=90.00
Space group I-4m2 (No. 119)
Asymmetric unit:
1 Cr 0.000 0.000 0.000
2 Cu 0.000 0.000 0.500
3 Cu 0.000 0.500 0.250
4 W 0.000 0.500 0.750

Output
**DFT total energy**: -7.307 eV/atom
**Energy above the most stable polymorph in this dataset**: 0.56 eV per formula unit
**Energy of formation from the pure elements**: 385.6 meV per atom

Entry from Alexandria: a relaxed TbEr4P5 crystal (PBE-GGA).

Unit cell a=8.902 b=8.902 c=5.630 alpha=90.00 beta=90.00 gamma=90.00
Space group I4/m (No. 87)
Asymmetric unit:
1 Tb 0.000 0.000 0.000
2 Er 0.101 0.700 0.500
3 P 0.000 0.000 0.500
4 P 0.101 0.698 0.000

Output
**DFT total energy**: -6.606 eV/atom
**Energy of formation from the pure elements**: -1612.7 meV per atom

Entry from Alexandria: a relaxed Tm6As3PS2 crystal (PBE-GGA).

Unit cell a=17.323 b=3.982 c=7.937 alpha=90.00 beta=103.10 gamma=90.00
Space group C2/m (No. 12)
Asymmetric unit:
1 Tm 0.000 0.000 0.244
2 Tm 0.164 0.500 0.082
3 Tm 0.166 0.500 0.583
4 As 0.000 0.500 0.500
5 As 0.168 0.000 0.833
6 P 0.000 0.500 0.000
7 S 0.168 0.000 0.335

Output
**DFT total energy**: -6.240 eV/atom
**Energy relative to the elements, uncorrected**: -39.27 kcal/mol of atoms

Entry from Alexandria: a relaxed BaAcMg crystal (PBE-GGA).

Unit cell a=4.198 b=4.198 c=14.671 alpha=90.00 beta=90.00 gamma=90.00
Space group I4mm (No. 107)
Asymmetric unit:
1 Ba 0.000 0.000 0.000
2 Ac 0.000 0.000 0.286
3 Mg 0.000 0.000 0.655

Output
**DFT total energy**: -2.538 eV/atom
**Energy above the most stable polymorph in this dataset**: 0.00 eV per formula unit
**Energy of formation from the pure elements**: 4.2 meV per atom

Entry from Alexandria: a relaxed Nd12Ag3H5 crystal (PBE-GGA).

Unit cell a=15.944 b=15.944 c=15.944 alpha=90.00 beta=90.00 gamma=90.00
Space group Ia-3d (No. 230)
Asymmetric unit:
1 Nd 0.040 0.057 0.651
2 Ag 0.000 0.250 0.125
3 H 0.000 0.000 0.000
4 H 0.000 0.250 0.375

Output
**DFT total energy**: -4.321 eV/atom

Entry from Alexandria: a relaxed BaY3Ta crystal (PBE-GGA).

Unit cell a=5.696 b=5.696 c=5.696 alpha=90.00 beta=90.00 gamma=90.00
Space group Pm-3m (No. 221)
Asymmetric unit:
1 Ba 0.000 0.000 0.000
2 Y 0.000 0.500 0.500
3 Ta 0.500 0.500 0.500

Output
**DFT total energy**: -6.165 eV/atom
**Energy above the most stable polymorph in this dataset**: 0.00 eV per formula unit
**Energy of formation from the pure elements**: 468.5 meV per atom

- The highest DFT total energy belongs to which entry?
  BaAcMg

- Number 4 is which compound?
  BaAcMg

- What is the formula in the first record?
  CrCu2W